(w)
The following is a PBE calculation of an optimized crystal structure of PmSmZn4, from the Alexandria database.

CIF file:
```
data_PmSmZn4
_symmetry_space_group_name_H-M 'I m m 2'
_symmetry_Int_Tables_number 44
_cell_length_a 4.5676
_cell_length_b 7.3595
_cell_length_c 7.5380
_cell_angle_alpha 90.00
_cell_angle_beta 90.00
_cell_angle_gamma 90.00
loop_
_symmetry_equiv_pos_as_xyz
'x,y,z'
'-x,-y,z'
'-x,y,z'
'x,-y,z'
'x+1/2,y+1/2,z+1/2'
'-x+1/2,-y+1/2,z+1/2'
'-x+1/2,y+1/2,z+1/2'
'x+1/2,-y+1/2,z+1/2'
loop_
_atom_site_label
_atom_site_fract_x
_atom_site_fract_y
_atom_site_fract_z
_atom_site_occupancy
Pm1 0.0000 0.0000 0.0000 1
Sm1 0.0000 0.5000 0.0764 1
Zn1 0.0000 0.1949 0.3739 1
Zn2 0.0000 0.3046 0.7043 1
```

Output
- calculated density (g/cm3) = 7.30
- total magnetization (μB per atom) = 0.0000

(x)
The following is a PBE calculation of an optimized crystal structure of PmSmZn4, from the Alexandria database.

CIF file:
```
data_PmSmZn4
_symmetry_space_group_name_H-M 'F -4 3 m'
_symmetry_Int_Tables_number 216
_symmetry_space_group_name_Hall 'F -4 2 3'
_cell_length_a 7.8398
_cell_length_b 7.8398
_cell_length_c 7.8398
_cell_angle_alpha 90.00
_cell_angle_beta 90.00
_cell_angle_gamma 90.00
loop_
_atom_site_label
_atom_site_fract_x
_atom_site_fract_y
_atom_site_fract_z
_atom_site_occupancy
Pm1 0.0000 0.0000 0.0000 1
Sm1 0.2500 0.2500 0.2500 1
Zn1 0.1249 0.1249 0.6249 1
```

Output
- calculated density (g/cm3) = 7.68
- total magnetization (μB per atom) = 0.0000

In terms of stability, (w) leads; the second structure lies 37 meV per atom higher.

(w)
The following is a PBE calculation of an optimized crystal structure of PmSm2Zn2, from the Alexandria database.

CIF file:
```
data_PmSm2Zn2
_symmetry_space_group_name_H-M 'P 1 21/m 1'
_symmetry_Int_Tables_number 11
_cell_length_a 4.5947
_cell_length_b 4.4550
_cell_length_c 13.3618
_cell_angle_alpha 90.00
_cell_angle_beta 99.84
_cell_angle_gamma 90.00
loop_
_symmetry_equiv_pos_as_xyz
'x,y,z'
'-x,-y,-z'
'-x,y+1/2,-z'
'x,-y+1/2,z'
loop_
_atom_site_label
_atom_site_fract_x
_atom_site_fract_y
_atom_site_fract_z
_atom_site_occupancy
Pm1 0.1338 0.2500 0.2710 1
Sm1 0.2371 0.7500 0.4735 1
Sm2 0.4476 0.2500 0.8905 1
Zn1 0.0257 0.2500 0.0475 1
Zn2 0.3315 0.2500 0.6641 1
```

Output
- calculated density (g/cm3) = 7.11
- total magnetization (μB per atom) = 0.0000

(x)
The following is a PBE calculation of an optimized crystal structure of PmSm2Zn2, from the Alexandria database.

CIF file:
```
data_PmSm2Zn2
_symmetry_space_group_name_H-M 'P 1 21/m 1'
_symmetry_Int_Tables_number 11
_cell_length_a 3.6920
_cell_length_b 5.2634
_cell_length_c 13.6282
_cell_angle_alpha 90.00
_cell_angle_beta 97.81
_cell_angle_gamma 90.00
loop_
_symmetry_equiv_pos_as_xyz
'x,y,z'
'-x,-y,-z'
'-x,y+1/2,-z'
'x,-y+1/2,z'
loop_
_atom_site_label
_atom_site_fract_x
_atom_site_fract_y
_atom_site_fract_z
_atom_site_occupancy
Pm1 0.1437 0.2500 0.2844 1
Sm1 0.0463 0.7500 0.0923 1
Sm2 0.2320 0.7500 0.4648 1
Zn1 0.3595 0.2500 0.7204 1
Zn2 0.4513 0.7500 0.9034 1
```

Output
- calculated density (g/cm3) = 7.30
- total magnetization (μB per atom) = 0.0000

In terms of stability, (x) leads; the second structure lies 87 meV per atom higher.

(w)
The following is a PBE calculation of an optimized crystal structure of PmSm2Zn, from the Alexandria database.

CIF file:
```
data_PmSm2Zn
_symmetry_space_group_name_H-M 'R 3 m'
_symmetry_Int_Tables_number 160
_symmetry_space_group_name_Hall 'R 3 -2"'
_cell_length_a 3.6682
_cell_length_b 3.6682
_cell_length_c 31.4443
_cell_angle_alpha 90.00
_cell_angle_beta 90.00
_cell_angle_gamma 120.00
loop_
_atom_site_label
_atom_site_fract_x
_atom_site_fract_y
_atom_site_fract_z
_atom_site_occupancy
Pm1 0.0000 0.0000 0.0000 1
Sm1 0.0000 0.0000 0.2380 1
Sm2 0.0000 0.0000 0.4291 1
Zn1 0.0000 0.0000 0.8338 1
```

Output
- calculated density (g/cm3) = 6.95
- total magnetization (μB per atom) = 0.0000

(x)
The following is a PBE calculation of an optimized crystal structure of PmSm2Zn, from the Alexandria database.

CIF file:
```
data_PmSm2Zn
_symmetry_space_group_name_H-M 'F m -3 m'
_symmetry_Int_Tables_number 225
_symmetry_space_group_name_Hall '-F 4 2 3'
_cell_length_a 7.6966
_cell_length_b 7.6966
_cell_length_c 7.6966
_cell_angle_alpha 90.00
_cell_angle_beta 90.00
_cell_angle_gamma 90.00
loop_
_atom_site_label
_atom_site_fract_x
_atom_site_fract_y
_atom_site_fract_z
_atom_site_occupancy
Pm1 0.0000 0.0000 0.0000 1
Sm1 0.2500 0.2500 0.2500 1
Zn1 0.0000 0.0000 0.5000 1
```

Output
- calculated density (g/cm3) = 7.45
- total magnetization (μB per atom) = 0.0001

In terms of stability, (w) leads; the second structure lies 106 meV per atom higher.

(w)
The following is a PBE calculation of an optimized crystal structure of Pm2Sm3Zn2, from the Alexandria database.

CIF file:
```
data_Pm2Sm3Zn2
_symmetry_space_group_name_H-M 'C m m m'
_symmetry_Int_Tables_number 65
_symmetry_space_group_name_Hall '-C 2 2'
_cell_length_a 3.6745
_cell_length_b 30.6845
_cell_length_c 3.6115
_cell_angle_alpha 90.00
_cell_angle_beta 90.00
_cell_angle_gamma 90.00
loop_
_atom_site_label
_atom_site_fract_x
_atom_site_fract_y
_atom_site_fract_z
_atom_site_occupancy
Pm1 0.0000 0.2003 0.0000 1
Sm1 0.0000 0.0844 0.0000 1
Sm2 0.0000 0.5000 0.5000 1
Zn1 0.0000 0.3579 0.5000 1
```

Output
- calculated density (g/cm3) = 7.11
- total magnetization (μB per atom) = 0.1066

(x)
The following is a PBE calculation of an optimized crystal structure of Pm2Sm3Zn2, from the Alexandria database.

CIF file:
```
data_Pm2Sm3Zn2
_symmetry_space_group_name_H-M 'C 1 2/m 1'
_symmetry_Int_Tables_number 12
_cell_length_a 13.0016
_cell_length_b 3.7507
_cell_length_c 9.3820
_cell_angle_alpha 90.00
_cell_angle_beta 116.11
_cell_angle_gamma 90.00
loop_
_symmetry_equiv_pos_as_xyz
'x,y,z'
'-x,-y,-z'
'-x,y,-z'
'x,-y,z'
'x+1/2,y+1/2,z'
'-x+1/2,-y+1/2,-z'
'-x+1/2,y+1/2,-z'
'x+1/2,-y+1/2,z'
loop_
_atom_site_label
_atom_site_fract_x
_atom_site_fract_y
_atom_site_fract_z
_atom_site_occupancy
Pm1 0.1521 0.0000 0.3137 1
Sm1 0.0000 0.5000 0.5000 1
Sm2 0.1117 0.5000 0.9410 1
Zn1 0.1747 0.0000 0.7283 1
```

Output
- calculated density (g/cm3) = 7.05
- total magnetization (μB per atom) = 0.0000

In terms of stability, (x) leads; the second structure lies 9 meV per atom higher.

(w)
The following is a PBE calculation of an optimized crystal structure of Pm2SmZr, from the Alexandria database.

CIF file:
```
data_Pm2SmZr
_symmetry_space_group_name_H-M 'P 4/m m m'
_symmetry_Int_Tables_number 123
_symmetry_space_group_name_Hall '-P 4 2'
_cell_length_a 4.0822
_cell_length_b 4.0822
_cell_length_c 7.3794
_cell_angle_alpha 90.00
_cell_angle_beta 90.00
_cell_angle_gamma 90.00
loop_
_atom_site_label
_atom_site_fract_x
_atom_site_fract_y
_atom_site_fract_z
_atom_site_occupancy
Pm1 0.0000 0.0000 0.2219 1
Sm1 0.5000 0.5000 0.5000 1
Zr1 0.5000 0.5000 0.0000 1
```

Output
- calculated density (g/cm3) = 7.18
- total magnetization (μB per atom) = 0.0000

(x)
The following is a PBE calculation of an optimized crystal structure of Pm2SmZr, from the Alexandria database.

CIF file:
```
data_Pm2SmZr
_symmetry_space_group_name_H-M 'F m -3 m'
_symmetry_Int_Tables_number 225
_symmetry_space_group_name_Hall '-F 4 2 3'
_cell_length_a 7.8788
_cell_length_b 7.8788
_cell_length_c 7.8788
_cell_angle_alpha 90.00
_cell_angle_beta 90.00
_cell_angle_gamma 90.00
loop_
_atom_site_label
_atom_site_fract_x
_atom_site_fract_y
_atom_site_fract_z
_atom_site_occupancy
Pm1 0.2500 0.2500 0.2500 1
Sm1 0.0000 0.0000 0.0000 1
Zr1 0.0000 0.0000 0.5000 1
```

Output
- calculated density (g/cm3) = 7.22
- total magnetization (μB per atom) = 0.2943

In terms of stability, (w) leads; the second structure lies 61 meV per atom higher.

(w)
The following is a PBE calculation of an optimized crystal structure of PmSm2Zr, from the Alexandria database.

CIF file:
```
data_PmSm2Zr
_symmetry_space_group_name_H-M 'P 4/m m m'
_symmetry_Int_Tables_number 123
_symmetry_space_group_name_Hall '-P 4 2'
_cell_length_a 4.9495
_cell_length_b 4.9495
_cell_length_c 4.9626
_cell_angle_alpha 90.00
_cell_angle_beta 90.00
_cell_angle_gamma 90.00
loop_
_atom_site_label
_atom_site_fract_x
_atom_site_fract_y
_atom_site_fract_z
_atom_site_occupancy
Pm1 0.0000 0.0000 0.0000 1
Sm1 0.0000 0.5000 0.5000 1
Zr1 0.5000 0.5000 0.0000 1
```

Output
- calculated density (g/cm3) = 7.33
- total magnetization (μB per atom) = 0.0000

(x)
The following is a PBE calculation of an optimized crystal structure of PmSm2Zr, from the Alexandria database.

CIF file:
```
data_PmSm2Zr
_symmetry_space_group_name_H-M 'F m -3 m'
_symmetry_Int_Tables_number 225
_symmetry_space_group_name_Hall '-F 4 2 3'
_cell_length_a 7.8781
_cell_length_b 7.8781
_cell_length_c 7.8781
_cell_angle_alpha 90.00
_cell_angle_beta 90.00
_cell_angle_gamma 90.00
loop_
_atom_site_label
_atom_site_fract_x
_atom_site_fract_y
_atom_site_fract_z
_atom_site_occupancy
Pm1 0.0000 0.0000 0.0000 1
Sm1 0.2500 0.2500 0.2500 1
Zr1 0.0000 0.0000 0.5000 1
```

Output
- calculated density (g/cm3) = 7.29
- total magnetization (μB per atom) = 0.3423

In terms of stability, (w) leads; the second structure lies 118 meV per atom higher.